Entry 1:
## TaBeFeSi2 (PBE)

Data for a relaxed TaBeFeSi2 crystal.

Results
Space group: P4/mmm (123)
Raw formation energy: 0.54 eV per atom

The structure in POSCAR format:
```
TaBeFeSi2
1.0
4.269 0.000 0.000
0.000 4.269 0.000
0.000 0.000 3.875
Ta Be Fe Si
1 1 1 2
direct
0.000 0.000 0.000
0.500 0.500 0.000
0.500 0.500 0.500
0.000 0.500 0.500
0.500 0.000 0.500
```

=====

Entry 2:
## Ta2Be2Fe5Si (PBE)

Data for a relaxed Ta2Be2Fe5Si crystal.

Results
Space group: P4/mbm (127)
Raw formation energy: -0.31 eV per atom

The structure in POSCAR format:
```
Ta2Be2Fe5Si
1.0
8.687 0.000 0.000
0.000 8.687 0.000
0.000 0.000 2.971
Ta Be Fe Si
4 4 10 2
direct
0.175 0.325 0.000
0.325 0.825 0.000
0.675 0.175 0.000
0.825 0.675 0.000
0.122 0.622 0.000
0.378 0.122 0.000
0.622 0.878 0.000
0.878 0.378 0.000
0.000 0.500 0.500
0.065 0.793 0.500
0.207 0.065 0.500
0.293 0.565 0.500
0.435 0.293 0.500
0.500 0.000 0.500
0.565 0.707 0.500
0.707 0.435 0.500
0.793 0.935 0.500
0.935 0.207 0.500
0.000 0.000 0.000
0.500 0.500 0.000
```

=====

Entry 3:
## TbBeFe2Si2 (PBE)

Data for a relaxed TbBeFe2Si2 crystal.

Results
Space group: P4/mmm (123)
Raw formation energy: -0.44 eV per atom

The structure in POSCAR format:
```
TbBeFe2Si2
1.0
3.978 0.000 0.000
0.000 3.978 0.000
0.000 0.000 5.185
Tb Be Fe Si
1 1 2 2
direct
0.000 0.000 0.000
0.000 0.000 0.500
0.000 0.500 0.500
0.500 0.000 0.500
0.500 0.500 0.245
0.500 0.500 0.755
```

=====

Entry 4:
## Be2Fe5SiTc2 (PBE)

Data for a relaxed Be2Fe5SiTc2 crystal.

Results
Space group: P4/mbm (127)
Raw formation energy: -0.13 eV per atom

The structure in POSCAR format:
```
Be2Fe5SiTc2
1.0
8.704 0.000 0.000
0.000 8.704 0.000
0.000 0.000 2.782
Be Fe Si Tc
4 10 2 4
direct
0.125 0.375 0.000
0.375 0.875 0.000
0.625 0.125 0.000
0.875 0.625 0.000
0.000 0.500 0.500
0.058 0.204 0.500
0.204 0.942 0.500
0.296 0.442 0.500
0.442 0.704 0.500
0.500 0.000 0.500
0.558 0.296 0.500
0.704 0.558 0.500
0.796 0.058 0.500
0.942 0.796 0.500
0.000 0.000 0.000
0.500 0.500 0.000
0.177 0.677 0.000
0.323 0.177 0.000
0.677 0.823 0.000
0.823 0.323 0.000
```

=====

Entry 5:
## Ti2Be2Fe5Si (PBE)

Data for a relaxed Ti2Be2Fe5Si crystal.

Results
Space group: P4/mbm (127)
Raw formation energy: -0.31 eV per atom

The structure in POSCAR format:
```
Ti2Be2Fe5Si
1.0
8.518 0.000 0.000
0.000 8.518 0.000
0.000 0.000 3.083
Ti Be Fe Si
4 4 10 2
direct
0.173 0.327 0.000
0.327 0.827 0.000
0.673 0.173 0.000
0.827 0.673 0.000
0.124 0.624 0.000
0.376 0.124 0.000
0.624 0.876 0.000
0.876 0.376 0.000
0.000 0.500 0.500
0.066 0.793 0.500
0.207 0.066 0.500
0.293 0.566 0.500
0.434 0.293 0.500
0.500 0.000 0.500
0.566 0.707 0.500
0.707 0.434 0.500
0.793 0.934 0.500
0.934 0.207 0.500
0.000 0.000 0.000
0.500 0.500 0.000
```

=====

Entry 6:
## TmBeFeSi3 (PBE)

Data for a relaxed TmBeFeSi3 crystal.

Results
Space group: Cmcm (63)
Raw formation energy: -0.07 eV per atom

The structure in POSCAR format:
```
TmBeFeSi3
1.0
2.680 -5.193 0.000
2.680 5.193 0.000
0.000 0.000 6.621
Tm Be Fe Si
2 2 2 6
direct
0.213 0.787 0.750
0.787 0.213 0.250
0.474 0.526 0.750
0.526 0.474 0.250
0.104 0.896 0.250
0.896 0.104 0.750
0.231 0.231 0.000
0.231 0.231 0.500
0.319 0.681 0.250
0.681 0.319 0.750
0.769 0.769 0.000
0.769 0.769 0.500
```

=====

Entry 7:
## TmBeFe2Si2 (PBE)

Data for a relaxed TmBeFe2Si2 crystal.

Results
Space group: P4/mmm (123)
Raw formation energy: -0.43 eV per atom

The structure in POSCAR format:
```
TmBeFe2Si2
1.0
3.960 0.000 0.000
0.000 3.960 0.000
0.000 0.000 5.117
Tm Be Fe Si
1 1 2 2
direct
0.000 0.000 0.000
0.000 0.000 0.500
0.000 0.500 0.500
0.500 0.000 0.500
0.500 0.500 0.242
0.500 0.500 0.758
```

=====

Entry 8:
## U2Be3FeSi4 (PBE)

Data for a relaxed U2Be3FeSi4 crystal.

Results
Space group: P-4m2 (115)
Raw formation energy: -0.28 eV per atom

The structure in POSCAR format:
```
U2Be3FeSi4
1.0
3.922 0.000 0.000
0.000 3.922 0.000
0.000 0.000 9.158
U Be Fe Si
2 3 1 4
direct
0.000 0.500 0.245
0.500 0.000 0.755
0.000 0.000 0.000
0.000 0.500 0.629
0.500 0.000 0.371
0.500 0.500 0.000
0.000 0.000 0.500
0.000 0.500 0.869
0.500 0.000 0.131
0.500 0.500 0.500
```